Entry 1:
CrTcRu2 PBE-GGA optimized geometry; excess energy over the best structure of this formula in the dataset = 54 meV/atom; calculated total energy = -9.516 eV per atom; formation energy = 0.1197 eV/atom; volume = 13.65 Å³ per atom; space-group type = No. 166
1.0
1.343 0.775 8.742
-1.343 0.775 8.742
0.000 -1.550 8.742
Cr Tc Ru
1 1 2
direct
0.000 0.000 0.000
0.500 0.500 0.500
0.253 0.253 0.253
0.747 0.747 0.747

Entry 2:
Cr4Tc2Ru PBE-GGA optimized geometry; calculated total energy = -8.504 eV per atom; formation energy = 1.2814 eV/atom; volume = 17.57 Å³ per atom; space-group type = No. 139
1.0
-2.229 2.229 6.191
2.229 -2.229 6.191
2.229 2.229 -6.191
Cr Tc Ru
4 2 1
direct
0.000 0.500 0.500
0.202 0.202 0.000
0.500 0.000 0.500
0.798 0.798 0.000
0.389 0.389 0.000
0.611 0.611 0.000
0.000 0.000 0.000

Entry 3:
CrTcRu2 PBE-GGA optimized geometry; excess energy over the best structure of this formula in the dataset = 49 meV/atom; calculated total energy = -9.521 eV per atom; formation energy = 0.1142 eV/atom; volume = 13.64 Å³ per atom; space-group type = No. 99
1.0
2.690 0.000 0.000
0.000 2.690 0.000
0.000 0.000 7.538
Cr Tc Ru
1 1 2
direct
0.000 0.000 0.000
0.500 0.500 0.749
0.000 0.000 0.495
0.500 0.500 0.229

Entry 4:
CrTcRu2 PBE-GGA optimized geometry; excess energy over the best structure of this formula in the dataset = 288 meV/atom; calculated total energy = -9.282 eV per atom; formation energy = 0.3533 eV/atom; volume = 13.85 Å³ per atom; space-group type = No. 35
1.0
1.431 -2.226 0.000
1.431 2.226 0.000
0.000 0.000 8.694
Cr Tc Ru
1 1 2
direct
0.000 0.000 0.000
0.500 0.500 0.762
0.000 0.000 0.502
0.500 0.500 0.237

Entry 5:
VCrTcRu PBE-GGA optimized geometry; calculated total energy = -9.677 eV per atom; formation energy = -0.0814 eV/atom; volume = 13.56 Å³ per atom; space-group type = No. 216
1.0
0.000 3.004 3.004
3.004 0.000 3.004
3.004 3.004 0.000
V Cr Tc Ru
1 1 1 1
direct
0.000 0.000 0.000
0.500 0.500 0.500
0.750 0.750 0.750
0.250 0.250 0.250

Entry 6:
CrTcRuW PBE-GGA optimized geometry; calculated total energy = -10.456 eV per atom; formation energy = 0.0984 eV/atom; volume = 14.58 Å³ per atom; space-group type = No. 216
1.0
0.000 3.078 3.078
3.078 0.000 3.078
3.078 3.078 0.000
Cr Tc Ru W
1 1 1 1
direct
0.000 0.000 0.000
0.250 0.250 0.250
0.750 0.750 0.750
0.500 0.500 0.500

Entry 7:
ZrCrTcRu2 PBE-GGA optimized geometry; calculated total energy = -8.832 eV per atom; formation energy = 0.5863 eV/atom; volume = 17.38 Å³ per atom; space-group type = No. 123
1.0
4.428 0.000 0.000
0.000 4.428 0.000
0.000 0.000 4.430
Zr Cr Tc Ru
1 1 1 2
direct
0.000 0.000 0.000
0.500 0.500 0.500
0.500 0.500 0.000
0.000 0.500 0.500
0.500 0.000 0.500

Entry 8:
Cr4TeRu PBE-GGA optimized geometry; calculated total energy = -8.072 eV per atom; volume = 13.45 Å³ per atom; space-group type = No. 216; E_form (uncorrected) = 2.48 eV/f.u.
1.0
0.000 3.430 3.430
3.430 0.000 3.430
3.430 3.430 0.000
Cr Te Ru
4 1 1
direct
0.376 0.376 0.376
0.376 0.376 0.871
0.376 0.871 0.376
0.871 0.376 0.376
0.750 0.750 0.750
0.000 0.000 0.000

Entry 9:
CrTe4Ru PBE-GGA optimized geometry; calculated total energy = -3.961 eV per atom; volume = 28.53 Å³ per atom; space-group type = No. 216; E_form (uncorrected) = 7.70 eV/f.u.
1.0
0.000 4.407 4.407
4.407 0.000 4.407
4.407 4.407 0.000
Cr Te Ru
1 4 1
direct
0.000 0.000 0.000
0.375 0.375 0.375
0.375 0.375 0.874
0.375 0.874 0.375
0.874 0.375 0.375
0.750 0.750 0.750

Entry 10:
Ti2CrRu PBE-GGA optimized geometry; calculated total energy = -9.037 eV per atom; formation energy = -0.3647 eV/atom; volume = 14.45 Å³ per atom; space-group type = No. 123
1.0
4.349 0.000 0.000
0.000 4.349 0.000
0.000 0.000 3.056
Ti Cr Ru
2 1 1
direct
0.000 0.500 0.000
0.500 0.000 0.000
0.000 0.000 0.500
0.500 0.500 0.500

Entry 11:
Ti5CrRu4 PBE-GGA optimized geometry; calculated total energy = -9.234 eV per atom; formation energy = -0.6143 eV/atom; volume = 14.55 Å³ per atom; space-group type = No. 123
1.0
3.071 0.000 0.000
0.000 3.071 0.000
0.000 0.000 15.431
Ti Cr Ru
5 1 4
direct
0.000 0.000 0.000
0.000 0.000 0.201
0.000 0.000 0.402
0.000 0.000 0.598
0.000 0.000 0.799
0.500 0.500 0.500
0.500 0.500 0.100
0.500 0.500 0.300
0.500 0.500 0.700
0.500 0.500 0.900

Entry 12:
TiCrRu3 PBE-GGA optimized geometry; excess energy over the best structure of this formula in the dataset = 0 meV/atom; calculated total energy = -8.218 eV per atom; formation energy = 0.8508 eV/atom; volume = 16.86 Å³ per atom; space-group type = No. 221
1.0
4.385 0.000 0.000
0.000 4.385 0.000
0.000 0.000 4.385
Ti Cr Ru
1 1 3
direct
0.000 0.000 0.000
0.500 0.500 0.500
0.000 0.500 0.500
0.500 0.000 0.500
0.500 0.500 0.000

| no. | density of states at the Fermi level (states/eV/f.u.) |
| --- | --- |
| 1 | 4.89 |
| 2 | 8.63 |
| 3 | 3.80 |
| 4 | 6.75 |
| 5 | 5.72 |
| 6 | 5.08 |
| 7 | 4.72 |
| 8 | 6.12 |
| 9 | 9.72 |
| 10 | 4.48 |
| 11 | 4.80 |
| 12 | 6.13 |